LaZrAs (GGA-PBE, relaxed); offset from the most stable computed form = 0.471 eV per atom; total magnetic moment = 0.48 μB per atom; electronic total energy = -19.7 eV per cell; formation energy = -0.526 eV/atom
1.0
4.6579 0.0000 0.0000
-2.3290 4.0339 0.0000
0.0000 0.0000 4.2263
La Zr As
1 1 1
direct
0.0000 0.0000 0.0000
0.3333 0.6667 0.5000
0.6667 0.3333 0.5000